{"formula": "Al2Pt9W", "functional": "GGA-PBE", "state": "relaxed", "formation_enthalpy_0k_ev_per_atom": -0.5581, "total_magnetization_mub_per_cell": 0.0, "n_ef_per_ev_fu": 5.48, "cell": [[3.941, 0.000, 0.000], [0.000, 3.941, 0.000], [0.000, 0.000, 11.828]], "species": ["Al", "Al", "Pt", "Pt", "Pt", "Pt", "Pt", "Pt", "Pt", "Pt", "Pt", "W"], "frac_coords": [[0.000, 0.000, 0.343], [0.000, 0.000, 0.657], [0.500, 0.500, 0.000], [0.500, 0.500, 0.332], [0.500, 0.500, 0.668], [0.500, 0.000, 0.164], [0.500, 0.000, 0.500], [0.500, 0.000, 0.836], [0.000, 0.500, 0.164], [0.000, 0.500, 0.500], [0.000, 0.500, 0.836], [0.000, 0.000, 0.000]]}